This record from Alexandria via LeMat-Bulk describes a relaxed Pu3AsP2 crystal. The functional is PBE.

Values from the calculation:
- energy relative to the elements (eV/atom) = -1.098
- relative energy among the computed polymorphs (kJ per mole of atoms) = 0.0
- density of states at the Fermi level (states/eV/atom) = 4.50

Lattice parameters (Å, degrees): 4.0439 5.7278 12.1489 90.00 90.00 90.00
Space group Immm (No. 71)
Inequivalent atoms, fractional coordinates:
Pu  0.0000  0.0000  0.0000 [2 per cell]
Pu  0.0000  0.0000  0.3274 [4 per cell]
As  0.0000  0.5000  0.0000 [2 per cell]
P  0.0000  0.5000  0.3354 [4 per cell]